[1]
Entry from OQMD via LeMat-Bulk: a relaxed structure of ErLu2Sc3Sb2Os (PBE).

Cell and atoms, written as POSCAR:
```
ErLu2Sc3Sb2Os
1.0
4.1438 0.0000 0.0000
0.0000 6.7213 3.8813
0.0000 -6.7213 3.8813
Er Lu Sc Sb Os
1 2 3 2 1
Cartesian
0.0000 0.0000 0.0000
0.0000 -2.6151 3.2196
0.0000 2.6151 3.2196
2.0719 0.0000 2.9263
2.0719 -1.5450 5.6153
2.0719 1.5450 5.6153
2.0719 -4.4695 4.7307
2.0719 4.4695 4.7307
0.0000 0.0000 4.6969
```

Its symmetry is No. 38. The spin magnetization comes out at 0.0 μB per cell.

[2]
Entry from OQMD via LeMat-Bulk: a relaxed structure of Er3Lu3SbTeOs (PBE).

Cell and atoms, written as POSCAR:
```
Er3Lu3SbTeOs
1.0
8.1026 0.0000 0.0000
-4.0513 7.0171 0.0000
0.0000 0.0000 4.1101
Er Lu Sb Te Os
3 3 1 1 1
Cartesian
-2.4569 4.3215 0.0000
1.5372 2.7286 0.0000
0.9197 6.9840 0.0000
-0.9509 1.6558 2.0551
-2.1419 7.0127 2.0551
3.0929 5.3656 2.0551
0.0000 4.6780 2.0551
4.0513 2.3390 2.0551
0.0000 0.0000 0.0000
```

Its symmetry is No. 174. The spin magnetization comes out at 0.0 μB per cell.

[3]
Entry from OQMD via LeMat-Bulk: a relaxed structure of ErTm3Lu2Sb2Os (PBE).

Cell and atoms, written as POSCAR:
```
ErTm3Lu2Sb2Os
1.0
4.1748 0.0000 0.0000
0.0000 6.9676 4.0388
0.0000 -6.9676 4.0388
Er Tm Lu Sb Os
1 3 2 2 1
Cartesian
0.0000 0.0000 0.0000
2.0874 -1.6529 2.1897
2.0874 1.6529 2.1897
2.0874 0.0000 5.0754
0.0000 -2.6990 4.7060
0.0000 2.6990 4.7060
2.0874 -4.6402 3.1423
2.0874 4.6402 3.1423
0.0000 0.0000 3.1782
```

Its symmetry is No. 38. The spin magnetization comes out at 0.0 μB per cell.

[4]
Entry from OQMD via LeMat-Bulk: a relaxed structure of Er2Tm3LuSb2Os (PBE).

Cell and atoms, written as POSCAR:
```
Er2Tm3LuSb2Os
1.0
4.1832 0.0000 0.0000
0.0000 7.0046 4.0297
0.0000 -7.0046 4.0297
Er Tm Lu Sb Os
2 3 1 2 1
Cartesian
0.0000 -4.2750 4.0297
0.0000 4.2750 4.0297
2.0916 0.0000 0.3262
2.0916 -1.6626 5.5251
2.0916 1.6626 5.5251
0.0000 0.0000 3.3604
2.0916 -2.3298 2.4586
2.0916 2.3298 2.4586
0.0000 0.0000 6.4523
```

Its symmetry is No. 38. The spin magnetization comes out at 0.0 μB per cell.

[5]
Entry from OQMD via LeMat-Bulk: a relaxed structure of ErLu2Sc3Te2Os (PBE).

Cell and atoms, written as POSCAR:
```
ErLu2Sc3Te2Os
1.0
3.9793 0.0000 0.0000
0.0000 6.8056 3.9534
0.0000 -6.8056 3.9534
Er Lu Sc Te Os
1 2 3 2 1
Cartesian
0.0000 0.0000 0.0000
0.0000 -2.6057 4.5663
0.0000 2.6057 4.5663
1.9896 -1.5918 2.1255
1.9896 1.5918 2.1255
1.9896 0.0000 4.9066
1.9896 -4.5347 3.0479
1.9896 4.5347 3.0479
0.0000 0.0000 3.0872
```

Its symmetry is No. 38. The spin magnetization comes out at 0.0 μB per cell.

[6]
Entry from OQMD via LeMat-Bulk: a relaxed structure of ErLu3Sc2Te2Os (PBE).

Cell and atoms, written as POSCAR:
```
ErLu3Sc2Te2Os
1.0
3.9467 0.0000 0.0000
0.0000 6.9714 4.0081
0.0000 -6.9714 4.0081
Er Lu Sc Te Os
1 3 2 2 1
Cartesian
0.0000 0.0000 0.0000
1.9734 -1.6945 2.1612
1.9734 1.6945 2.1612
1.9734 0.0000 5.0362
0.0000 -2.6746 4.6466
0.0000 2.6746 4.6466
1.9734 -4.6142 3.0945
1.9734 4.6142 3.0945
0.0000 0.0000 3.1094
```

Its symmetry is No. 38. The spin magnetization comes out at 0.0 μB per cell.

Number 1: VASP energy -58.60 eV for the cell shown. Number 2: VASP energy -52.20 eV for the cell shown. Number 3: VASP energy -52.51 eV for the cell shown. Number 4: VASP energy -52.63 eV for the cell shown. Number 5: VASP energy -56.79 eV for the cell shown. Number 6: VASP energy -54.44 eV for the cell shown.